{
  "formula": "BeMoAu",
  "functional": "GGA-PBEsol",
  "state": "optimized geometry",
  "volume_a3_per_atom": 13.94,
  "spacegroup": "P3m1 (156)",
  "dos_ef_per_ev_atom": 0.680,
  "e_form_ev_per_atom": 0.255,
  "total_energy_ev_per_atom": -6.309,
  "e_above_lowest_polymorph_ev_per_atom": 0.0000,
  "lattice": [[2.743, 0.000, 0.000], [-1.372, 2.376, 0.000], [0.000, 0.000, 6.416]],
  "species": ["Be", "Mo", "Au"],
  "frac_coords": [[0.000, 0.000, 0.000], [0.333, 0.667, 0.685], [0.667, 0.333, 0.305]]
}

---

{
  "formula": "CrReTc2",
  "functional": "GGA-PBEsol",
  "state": "optimized geometry",
  "volume_a3_per_atom": 13.59,
  "spacegroup": "Pmmm (47)",
  "dos_ef_per_ev_atom": 1.256,
  "e_form_ev_per_atom": 0.196,
  "total_energy_ev_per_atom": -11.330,
  "lattice": [[3.014, 0.000, 0.000], [0.000, 4.240, 0.000], [0.000, 0.000, 4.256]],
  "species": ["Cr", "Re", "Tc", "Tc"],
  "frac_coords": [[0.000, 0.000, 0.000], [0.500, 0.500, 0.000], [0.000, 0.500, 0.500], [0.500, 0.000, 0.500]]
}

---

{
  "formula": "FePIr2",
  "functional": "GGA-PBEsol",
  "state": "optimized geometry",
  "volume_a3_per_atom": 13.14,
  "spacegroup": "Immm (71)",
  "dos_ef_per_ev_atom": 0.728,
  "e_form_ev_per_atom": -0.064,
  "total_energy_ev_per_atom": -8.664,
  "lattice": [[-1.400, 2.138, 4.390], [1.400, -2.138, 4.390], [1.400, 2.138, -4.390]],
  "species": ["Fe", "P", "Ir", "Ir"],
  "frac_coords": [[0.000, 0.000, 0.000], [0.500, 0.500, 0.000], [0.287, 0.787, 0.500], [0.713, 0.213, 0.500]]
}

---

{
  "formula": "BaTiB2O6",
  "functional": "GGA-PBEsol",
  "state": "optimized geometry",
  "volume_a3_per_atom": 11.98,
  "spacegroup": "R-3 (148)",
  "raw_formation_energy_ev_per_atom": -2.822,
  "dos_ef_per_ev_atom": 0.000,
  "total_energy_ev_per_atom": -8.422,
  "lattice": [[2.521, 1.455, 5.443], [-2.521, 1.455, 5.443], [0.000, -2.911, 5.443]],
  "species": ["Ba", "Ti", "B", "B", "O", "O", "O", "O", "O", "O"],
  "frac_coords": [[0.000, 0.000, 0.000], [0.500, 0.500, 0.500], [0.234, 0.234, 0.234], [0.766, 0.766, 0.766], [0.073, 0.654, 0.561], [0.346, 0.439, 0.927], [0.439, 0.927, 0.346], [0.561, 0.073, 0.654], [0.654, 0.561, 0.073], [0.927, 0.346, 0.439]]
}

---

{
  "formula": "KBa",
  "functional": "GGA-PBEsol",
  "state": "optimized geometry",
  "volume_a3_per_atom": 63.48,
  "spacegroup": "Cmme (67)",
  "dos_ef_per_ev_atom": 1.271,
  "e_form_ev_per_atom": 0.052,
  "total_energy_ev_per_atom": -1.589,
  "lattice": [[2.389, -3.574, 0.000], [2.389, 3.574, 0.000], [0.000, 0.000, 14.868]],
  "species": ["K", "K", "Ba", "Ba"],
  "frac_coords": [[0.250, 0.750, 0.869], [0.750, 0.250, 0.131], [0.250, 0.750, 0.384], [0.750, 0.250, 0.616]]
}

---

{
  "formula": "AlZnCd2",
  "functional": "GGA-PBEsol",
  "state": "optimized geometry",
  "volume_a3_per_atom": 18.79,
  "spacegroup": "Cmm2 (35)",
  "dos_ef_per_ev_atom": 0.372,
  "e_form_ev_per_atom": 0.110,
  "total_energy_ev_per_atom": -1.907,
  "e_above_lowest_polymorph_ev_per_atom": 0.0402,
  "lattice": [[1.410, -2.544, 0.000], [1.410, 2.544, 0.000], [0.000, 0.000, 10.475]],
  "species": ["Al", "Zn", "Cd", "Cd"],
  "frac_coords": [[0.000, 0.000, 0.000], [0.500, 0.500, 0.780], [0.000, 0.000, 0.538], [0.500, 0.500, 0.260]]
}

---

{
  "formula": "SnRh2",
  "functional": "GGA-PBEsol",
  "state": "optimized geometry",
  "volume_a3_per_atom": 15.44,
  "spacegroup": "Pnma (62)",
  "dos_ef_per_ev_atom": 0.783,
  "e_form_ev_per_atom": -0.365,
  "total_energy_ev_per_atom": -7.211,
  "lattice": [[5.511, 0.000, 0.000], [0.000, 4.193, 0.000], [0.000, 0.000, 8.019]],
  "species": ["Sn", "Sn", "Sn", "Sn", "Rh", "Rh", "Rh", "Rh", "Rh", "Rh", "Rh", "Rh"],
  "frac_coords": [[0.187, 0.250, 0.101], [0.313, 0.750, 0.601], [0.687, 0.250, 0.399], [0.813, 0.750, 0.899], [0.051, 0.250, 0.773], [0.166, 0.250, 0.431], [0.334, 0.750, 0.931], [0.449, 0.750, 0.273], [0.551, 0.250, 0.727], [0.666, 0.250, 0.069], [0.834, 0.750, 0.569], [0.949, 0.750, 0.227]]
}

---

{
  "formula": "TiZnSn2Mo",
  "functional": "GGA-PBEsol",
  "state": "optimized geometry",
  "volume_a3_per_atom": 21.93,
  "spacegroup": "P4/mmm (123)",
  "dos_ef_per_ev_atom": 0.866,
  "e_form_ev_per_atom": 1.185,
  "total_energy_ev_per_atom": -4.854,
  "lattice": [[4.851, 0.000, 0.000], [0.000, 4.851, 0.000], [0.000, 0.000, 4.660]],
  "species": ["Ti", "Zn", "Sn", "Sn", "Mo"],
  "frac_coords": [[0.000, 0.000, 0.000], [0.000, 0.000, 0.500], [0.000, 0.500, 0.500], [0.500, 0.000, 0.500], [0.500, 0.500, 0.000]]
}

---

{
  "formula": "ZnTePd3",
  "functional": "GGA-PBEsol",
  "state": "optimized geometry",
  "volume_a3_per_atom": 22.88,
  "spacegroup": "Pm-3m (221)",
  "raw_formation_energy_ev_per_atom": 0.529,
  "dos_ef_per_ev_atom": 0.477,
  "total_energy_ev_per_atom": -4.067,
  "lattice": [[4.855, 0.000, 0.000], [0.000, 4.855, 0.000], [0.000, 0.000, 4.855]],
  "species": ["Zn", "Te", "Pd", "Pd", "Pd"],
  "frac_coords": [[0.000, 0.000, 0.000], [0.500, 0.500, 0.500], [0.000, 0.500, 0.500], [0.500, 0.000, 0.500], [0.500, 0.500, 0.000]]
}

---

{
  "formula": "Mn2C",
  "functional": "GGA-PBEsol",
  "state": "optimized geometry",
  "volume_a3_per_atom": 9.35,
  "spacegroup": "Pnnm (58)",
  "dos_ef_per_ev_atom": 1.306,
  "e_form_ev_per_atom": -0.050,
  "total_energy_ev_per_atom": -9.772,
  "lattice": [[4.347, 0.000, 0.000], [0.000, 4.617, 0.000], [0.000, 0.000, 2.797]],
  "species": ["Mn", "Mn", "Mn", "Mn", "C", "C"],
  "frac_coords": [[0.246, 0.152, 0.000], [0.254, 0.652, 0.500], [0.746, 0.348, 0.500], [0.754, 0.848, 0.000], [0.000, 0.500, 0.000], [0.500, 0.000, 0.500]]
}

---

{
  "formula": "NaLa9Ge6O26",
  "functional": "GGA-PBEsol",
  "state": "optimized geometry",
  "volume_a3_per_atom": 14.38,
  "spacegroup": "P3 (143)",
  "raw_formation_energy_ev_per_atom": -2.767,
  "dos_ef_per_ev_atom": 0.000,
  "total_energy_ev_per_atom": -7.901,
  "lattice": [[9.809, 0.000, 0.000], [-4.905, 8.495, 0.000], [0.000, 0.000, 7.250]],
  "species": ["Na", "La", "La", "La", "La", "La", "La", "La", "La", "La", "Ge", "Ge", "Ge", "Ge", "Ge", "Ge", "O", "O", "O", "O", "O", "O", "O", "O", "O", "O", "O", "O", "O", "O", "O", "O", "O", "O", "O", "O", "O", "O", "O", "O", "O", "O"],
  "frac_coords": [[0.000, 0.000, 0.000], [0.000, 0.000, 0.494], [0.333, 0.667, 0.490], [0.333, 0.667, 0.989], [0.424, 0.323, 0.239], [0.440, 0.094, 0.743], [0.654, 0.560, 0.743], [0.677, 0.101, 0.239], [0.899, 0.576, 0.239], [0.906, 0.346, 0.743], [0.039, 0.738, 0.743], [0.065, 0.358, 0.241], [0.262, 0.300, 0.743], [0.293, 0.935, 0.241], [0.642, 0.707, 0.241], [0.700, 0.961, 0.743], [0.016, 0.435, 0.048], [0.016, 0.436, 0.434], [0.057, 0.203, 0.749], [0.146, 0.943, 0.749], [0.163, 0.656, 0.739], [0.185, 0.030, 0.243], [0.190, 0.726, 0.239], [0.274, 0.464, 0.239], [0.311, 0.231, 0.543], [0.344, 0.507, 0.739], [0.365, 0.264, 0.917], [0.419, 0.984, 0.048], [0.421, 0.984, 0.434], [0.493, 0.837, 0.739], [0.536, 0.810, 0.239], [0.564, 0.579, 0.434], [0.565, 0.581, 0.048], [0.667, 0.333, 0.234], [0.667, 0.333, 0.707], [0.736, 0.101, 0.917], [0.769, 0.080, 0.543], [0.797, 0.854, 0.749], [0.845, 0.815, 0.243], [0.899, 0.635, 0.917], [0.920, 0.689, 0.543], [0.970, 0.155, 0.243]]
}

---

{
  "formula": "BeCdMo4",
  "functional": "GGA-PBEsol",
  "state": "optimized geometry",
  "volume_a3_per_atom": 16.29,
  "spacegroup": "F-43m (216)",
  "dos_ef_per_ev_atom": 0.952,
  "e_form_ev_per_atom": 0.704,
  "total_energy_ev_per_atom": -8.008,
  "lattice": [[0.000, 3.656, 3.656], [3.656, 0.000, 3.656], [3.656, 3.656, 0.000]],
  "species": ["Be", "Cd", "Mo", "Mo", "Mo", "Mo"],
  "frac_coords": [[0.000, 0.000, 0.000], [0.250, 0.250, 0.250], [0.124, 0.625, 0.625], [0.625, 0.124, 0.625], [0.625, 0.625, 0.124], [0.625, 0.625, 0.625]]
}

---

{
  "formula": "LaCo2Ru",
  "functional": "GGA-PBEsol",
  "state": "optimized geometry",
  "volume_a3_per_atom": 15.28,
  "spacegroup": "Pmmm (47)",
  "dos_ef_per_ev_atom": 1.468,
  "e_form_ev_per_atom": 0.297,
  "total_energy_ev_per_atom": -7.452,
  "lattice": [[2.751, 0.000, 0.000], [0.000, 3.426, 0.000], [0.000, 0.000, 6.487]],
  "species": ["La", "Co", "Co", "Ru"],
  "frac_coords": [[0.000, 0.000, 0.000], [0.500, 0.500, 0.318], [0.500, 0.500, 0.682], [0.000, 0.000, 0.500]]
}

---

{
  "formula": "TaSi2Pt",
  "functional": "GGA-PBEsol",
  "state": "optimized geometry",
  "volume_a3_per_atom": 14.53,
  "spacegroup": "I-4m2 (119)",
  "raw_formation_energy_ev_per_atom": -0.486,
  "dos_ef_per_ev_atom": 0.303,
  "total_energy_ev_per_atom": -8.238,
  "lattice": [[-1.793, 1.793, 4.522], [1.793, -1.793, 4.522], [1.793, 1.793, -4.522]],
  "species": ["Ta", "Si", "Si", "Pt"],
  "frac_coords": [[0.000, 0.000, 0.000], [0.250, 0.750, 0.500], [0.500, 0.500, 0.000], [0.750, 0.250, 0.500]]
}

---

{
  "formula": "AlSn2Bi",
  "functional": "GGA-PBEsol",
  "state": "optimized geometry",
  "volume_a3_per_atom": 25.76,
  "spacegroup": "Fm-3m (225)",
  "dos_ef_per_ev_atom": 0.794,
  "e_form_ev_per_atom": 0.176,
  "total_energy_ev_per_atom": -4.047,
  "lattice": [[0.000, 3.721, 3.721], [3.721, 0.000, 3.721], [3.721, 3.721, 0.000]],
  "species": ["Al", "Sn", "Sn", "Bi"],
  "frac_coords": [[0.000, 0.000, 0.000], [0.250, 0.250, 0.250], [0.750, 0.750, 0.750], [0.500, 0.500, 0.500]]
}

---

{
  "formula": "GdAsO4",
  "functional": "GGA-PBEsol",
  "state": "optimized geometry",
  "volume_a3_per_atom": 11.88,
  "spacegroup": "P4/nbm (125)",
  "raw_formation_energy_ev_per_atom": -2.328,
  "dos_ef_per_ev_atom": 0.000,
  "total_energy_ev_per_atom": -9.086,
  "e_above_lowest_polymorph_ev_per_atom": 0.0340,
  "lattice": [[5.494, 0.000, 0.000], [0.000, 5.494, 0.000], [0.000, 0.000, 4.723]],
  "species": ["Gd", "Gd", "As", "As", "O", "O", "O", "O", "O", "O", "O", "O"],
  "frac_coords": [[0.250, 0.250, 0.000], [0.750, 0.750, 0.000], [0.250, 0.750, 0.500], [0.750, 0.250, 0.500], [0.081, 0.581, 0.263], [0.081, 0.919, 0.737], [0.419, 0.581, 0.737], [0.419, 0.919, 0.263], [0.581, 0.081, 0.737], [0.581, 0.419, 0.263], [0.919, 0.081, 0.263], [0.919, 0.419, 0.737]]
}

---

{
  "formula": "MgTaAu",
  "functional": "GGA-PBEsol",
  "state": "optimized geometry",
  "volume_a3_per_atom": 19.87,
  "spacegroup": "F-43m (216)",
  "dos_ef_per_ev_atom": 0.027,
  "e_form_ev_per_atom": 0.188,
  "total_energy_ev_per_atom": -5.876,
  "e_above_lowest_polymorph_ev_per_atom": 0.0461,
  "lattice": [[0.000, 3.100, 3.100], [3.100, 0.000, 3.100], [3.100, 3.100, 0.000]],
  "species": ["Mg", "Ta", "Au"],
  "frac_coords": [[0.000, 0.000, 0.000], [0.500, 0.500, 0.500], [0.750, 0.750, 0.750]]
}

---

{
  "formula": "HoCuSn",
  "functional": "GGA-PBEsol",
  "state": "optimized geometry",
  "volume_a3_per_atom": 20.56,
  "spacegroup": "P6_3/mmc (194)",
  "dos_ef_per_ev_atom": 0.408,
  "e_form_ev_per_atom": -0.584,
  "total_energy_ev_per_atom": -5.098,
  "lattice": [[4.451, 0.000, 0.000], [-2.225, 3.855, 0.000], [0.000, 0.000, 7.192]],
  "species": ["Ho", "Ho", "Cu", "Cu", "Sn", "Sn"],
  "frac_coords": [[0.000, 0.000, 0.000], [0.000, 0.000, 0.500], [0.333, 0.667, 0.250], [0.667, 0.333, 0.750], [0.333, 0.667, 0.750], [0.667, 0.333, 0.250]]
}

---

{
  "formula": "InSnSb2I",
  "functional": "GGA-PBEsol",
  "state": "optimized geometry",
  "volume_a3_per_atom": 37.62,
  "spacegroup": "P4/mmm (123)",
  "raw_formation_energy_ev_per_atom": 0.485,
  "dos_ef_per_ev_atom": 1.230,
  "total_energy_ev_per_atom": -3.139,
  "lattice": [[5.602, 0.000, 0.000], [0.000, 5.602, 0.000], [0.000, 0.000, 5.993]],
  "species": ["In", "Sn", "Sb", "Sb", "I"],
  "frac_coords": [[0.000, 0.000, 0.000], [0.500, 0.500, 0.500], [0.000, 0.500, 0.500], [0.500, 0.000, 0.500], [0.500, 0.500, 0.000]]
}

---

{
  "formula": "LiTc4As",
  "functional": "GGA-PBEsol",
  "state": "optimized geometry",
  "volume_a3_per_atom": 15.27,
  "spacegroup": "F-43m (216)",
  "dos_ef_per_ev_atom": 0.868,
  "e_form_ev_per_atom": 0.517,
  "total_energy_ev_per_atom": -8.173,
  "lattice": [[0.000, 3.578, 3.578], [3.578, 0.000, 3.578], [3.578, 3.578, 0.000]],
  "species": ["Li", "Tc", "Tc", "Tc", "Tc", "As"],
  "frac_coords": [[0.000, 0.000, 0.000], [0.375, 0.375, 0.375], [0.375, 0.375, 0.874], [0.375, 0.874, 0.375], [0.874, 0.375, 0.375], [0.750, 0.750, 0.750]]
}